Entry 1:
Computed, not measured: a geometry-optimized MgZr2As2 structure at the GGA-PBEsol level of DFT.

Geometry as POSCAR:
```
MgZr2As2
1.0
7.302 0.000 0.000
0.000 7.302 0.000
0.000 0.000 3.555
Mg Zr As
2 4 4
direct
0.000 0.000 0.000
0.500 0.500 0.000
0.146 0.354 0.500
0.354 0.854 0.500
0.646 0.146 0.500
0.854 0.646 0.500
0.148 0.648 0.000
0.352 0.148 0.000
0.648 0.852 0.000
0.852 0.352 0.000
```

Output
E ... -69.1 eV per cell
ΔE_f ... -893 meV per atom

---

Entry 2:
Computed, not measured: a geometry-optimized Y2SiW structure at the GGA-PBEsol level of DFT.

Geometry as POSCAR:
```
Y2SiW
1.0
3.356 0.000 0.000
0.000 3.356 0.000
0.000 0.000 7.837
Y Si W
2 1 1
direct
0.000 0.000 0.000
0.500 0.500 0.388
0.000 0.000 0.622
0.500 0.500 0.748
```

Output
E ... -33.6 eV per cell
Energy relative to the elements, uncorrected ... -0.37 eV per formula unit

---

Entry 3:
Computed, not measured: a geometry-optimized Sr2Hg structure at the GGA-PBEsol level of DFT.

Geometry as POSCAR:
```
Sr2Hg
1.0
5.746 0.000 0.000
-2.873 4.976 0.000
0.000 0.000 7.374
Sr Hg
4 2
direct
0.000 0.000 0.000
0.000 0.000 0.500
0.333 0.667 0.250
0.667 0.333 0.750
0.333 0.667 0.750
0.667 0.333 0.250
```

Output
E ... -10.4 eV per cell
ΔE_f ... -313 meV per atom

---

Entry 4:
Computed, not measured: a geometry-optimized MgNbAsSe2 structure at the GGA-PBEsol level of DFT.

Geometry as POSCAR:
```
MgNbAsSe2
1.0
4.974 0.000 0.000
0.000 4.974 0.000
0.000 0.000 5.047
Mg Nb As Se
1 1 1 2
direct
0.000 0.000 0.000
0.500 0.500 0.500
0.500 0.500 0.000
0.000 0.500 0.500
0.500 0.000 0.500
```

Output
E ... -25.8 eV per cell
Energy relative to the elements, uncorrected ... -0.49 eV per formula unit

---

Entry 5:
Computed, not measured: a geometry-optimized K2PH4S3O2 structure at the GGA-PBEsol level of DFT.

Geometry as POSCAR:
```
K2PH4S3O2
1.0
7.825 0.000 0.000
0.000 11.214 0.000
-7.319 0.000 9.014
K P H S O
8 4 16 12 8
direct
0.010 0.225 0.104
0.010 0.275 0.604
0.482 0.149 0.526
0.482 0.351 0.026
0.518 0.649 0.974
0.518 0.851 0.474
0.990 0.725 0.396
0.990 0.775 0.896
0.361 0.036 0.886
0.361 0.464 0.386
0.639 0.536 0.614
0.639 0.964 0.114
0.078 0.501 0.914
0.078 0.999 0.414
0.126 0.519 0.707
0.126 0.981 0.207
0.224 0.554 0.079
0.224 0.946 0.579
0.330 0.001 0.213
0.330 0.499 0.713
0.670 0.501 0.287
0.670 0.999 0.787
0.776 0.054 0.421
0.776 0.446 0.921
0.874 0.019 0.793
0.874 0.481 0.293
0.922 0.001 0.586
0.922 0.499 0.086
0.159 0.129 0.906
0.159 0.371 0.406
0.210 0.611 0.255
0.210 0.889 0.755
0.500 0.144 0.826
0.500 0.356 0.326
0.500 0.644 0.674
0.500 0.856 0.174
0.790 0.111 0.245
0.790 0.389 0.745
0.841 0.629 0.594
0.841 0.871 0.094
0.211 0.551 0.987
0.211 0.949 0.487
0.262 0.031 0.256
0.262 0.469 0.756
0.738 0.531 0.244
0.738 0.969 0.744
0.789 0.051 0.513
0.789 0.449 0.013
```

Output
E ... -227.8 eV per cell

---

Entry 6:
Computed, not measured: a geometry-optimized LaHgOF2 structure at the GGA-PBEsol level of DFT.

Geometry as POSCAR:
```
LaHgOF2
1.0
4.629 0.000 0.000
0.000 4.629 0.000
0.000 0.000 4.654
La Hg O F
1 1 1 2
direct
0.000 0.000 0.000
0.500 0.500 0.500
0.000 0.000 0.500
0.000 0.500 0.000
0.500 0.000 0.000
```

Output
E ... -27.2 eV per cell
Energy relative to the elements, uncorrected ... -12.14 eV per formula unit
E above lowest polymorph ... 0.00 eV/f.u.